The following is a DFT calculation (PBE) of a geometry-optimized Sr12Sb3H5 structure.

Calculated values
**Calculated total energy**: -235.94 eV/cell

Structure (POSCAR):
```
Sr12Sb3H5
1.0
-8.681 8.681 8.681
8.681 -8.681 8.681
8.681 8.681 -8.681
Sr Sb H
48 12 20
Direct
0.018 0.211 0.118 Sr
0.018 0.307 0.900 Sr
0.094 0.711 0.693 Sr
0.094 0.882 0.400 Sr
0.100 0.618 0.406 Sr
0.100 0.982 0.693 Sr
0.118 0.018 0.211 Sr
0.118 0.600 0.906 Sr
0.193 0.211 0.594 Sr
0.193 0.482 0.600 Sr
0.211 0.118 0.018 Sr
0.211 0.594 0.193 Sr
0.289 0.307 0.906 Sr
0.289 0.482 0.382 Sr
0.307 0.900 0.018 Sr
0.307 0.906 0.289 Sr
0.382 0.289 0.482 Sr
0.382 0.594 0.900 Sr
0.400 0.094 0.882 Sr
0.400 0.807 0.518 Sr
0.406 0.100 0.618 Sr
0.406 0.807 0.789 Sr
0.482 0.382 0.289 Sr
0.482 0.600 0.193 Sr
0.518 0.400 0.807 Sr
0.518 0.618 0.711 Sr
0.594 0.193 0.211 Sr
0.594 0.900 0.382 Sr
0.600 0.193 0.482 Sr
0.600 0.906 0.118 Sr
0.618 0.406 0.100 Sr
0.618 0.711 0.518 Sr
0.693 0.094 0.711 Sr
0.693 0.100 0.982 Sr
0.711 0.518 0.618 Sr
0.711 0.693 0.094 Sr
0.789 0.406 0.807 Sr
0.789 0.882 0.982 Sr
0.807 0.518 0.400 Sr
0.807 0.789 0.406 Sr
0.882 0.400 0.094 Sr
0.882 0.982 0.789 Sr
0.900 0.018 0.307 Sr
0.900 0.382 0.594 Sr
0.906 0.118 0.600 Sr
0.906 0.289 0.307 Sr
0.982 0.693 0.100 Sr
0.982 0.789 0.882 Sr
0.125 0.250 0.375 Sb
0.125 0.375 0.750 Sb
0.250 0.375 0.125 Sb
0.250 0.875 0.625 Sb
0.375 0.125 0.250 Sb
0.375 0.750 0.125 Sb
0.625 0.250 0.875 Sb
0.625 0.875 0.750 Sb
0.750 0.125 0.375 Sb
0.750 0.625 0.875 Sb
0.875 0.625 0.250 Sb
0.875 0.750 0.625 Sb
0.000 0.000 0.000 H
0.000 0.000 0.500 H
0.000 0.500 0.000 H
0.000 0.500 0.500 H
0.125 0.750 0.875 H
0.125 0.875 0.250 H
0.250 0.125 0.875 H
0.250 0.625 0.375 H
0.375 0.250 0.625 H
0.375 0.625 0.750 H
0.500 0.000 0.000 H
0.500 0.000 0.500 H
0.500 0.500 0.000 H
0.500 0.500 0.500 H
0.625 0.375 0.250 H
0.625 0.750 0.375 H
0.750 0.375 0.625 H
0.750 0.875 0.125 H
0.875 0.125 0.750 H
0.875 0.250 0.125 H
```


The following is a DFT calculation (PBE) of a geometry-optimized SrSb2H structure.

Calculated values
**Calculated total energy**: -11.93 eV/cell

Structure (POSCAR):
```
SrSb2H
1.0
0.000 3.780 3.780
3.780 0.000 3.780
3.780 3.780 0.000
Sr Sb H
1 2 1
Direct
0.000 0.000 0.000 Sr
0.250 0.250 0.250 Sb
0.750 0.750 0.750 Sb
0.500 0.500 0.500 H
```


The following is a DFT calculation (PBE) of a geometry-optimized Sr4Sb2H3 structure.

Calculated values
**Calculated total energy**: -61.05 eV/cell

Structure (POSCAR):
```
Sr4Sb2H3
1.0
3.639 -7.441 0.000
3.639 7.441 0.000
0.000 0.000 8.698
Sr Sb H
8 4 6
Direct
0.203 0.797 0.887 Sr
0.204 0.296 0.750 Sr
0.296 0.204 0.250 Sr
0.297 0.703 0.387 Sr
0.703 0.297 0.613 Sr
0.704 0.796 0.750 Sr
0.796 0.704 0.250 Sr
0.797 0.203 0.113 Sr
0.103 0.897 0.559 Sb
0.397 0.603 0.059 Sb
0.603 0.397 0.941 Sb
0.897 0.103 0.441 Sb
0.000 0.000 0.000 H
0.039 0.461 0.750 H
0.461 0.039 0.250 H
0.500 0.500 0.500 H
0.539 0.961 0.750 H
0.961 0.539 0.250 H
```


The following is a DFT calculation (PBE) of a geometry-optimized SrSbH structure.

Calculated values
**Calculated total energy**: -21.28 eV/cell

Structure (POSCAR):
```
SrSbH
1.0
5.089 -2.052 0.000
5.089 2.052 0.000
-4.802 0.000 8.005
Sr Sb H
2 2 2
Direct
0.207 0.207 0.301 Sr
0.793 0.793 0.699 Sr
0.374 0.374 0.049 Sb
0.626 0.626 0.951 Sb
0.191 0.191 0.552 H
0.809 0.809 0.448 H
```


The following is a DFT calculation (PBE) of a geometry-optimized Sr5Sb3H structure.

Calculated values
**Calculated total energy**: -65.97 eV/cell

Structure (POSCAR):
```
Sr5Sb3H
1.0
-4.493 4.493 7.360
4.493 -4.493 7.360
4.493 4.493 -7.360
Sr Sb H
10 6 2
Direct
0.000 0.000 0.000 Sr
0.010 0.510 0.802 Sr
0.208 0.010 0.500 Sr
0.292 0.792 0.802 Sr
0.490 0.292 0.500 Sr
0.500 0.500 0.000 Sr
0.510 0.708 0.500 Sr
0.708 0.208 0.198 Sr
0.792 0.990 0.500 Sr
0.990 0.490 0.198 Sr
0.154 0.346 0.500 Sb
0.250 0.250 0.000 Sb
0.346 0.846 0.193 Sb
0.654 0.154 0.807 Sb
0.750 0.750 0.000 Sb
0.846 0.654 0.500 Sb
0.250 0.750 0.500 H
0.750 0.250 0.500 H
```


The following is a DFT calculation (PBE) of a geometry-optimized Sr3SbH3 structure.

Calculated values
**Calculated total energy**: -46.91 eV/cell

Structure (POSCAR):
```
Sr3SbH3
1.0
3.797 2.192 7.529
-3.797 2.192 7.529
0.000 -4.384 7.529
Sr Sb H
6 2 6
Direct
0.045 0.410 0.764 Sr
0.236 0.955 0.590 Sr
0.410 0.764 0.045 Sr
0.590 0.236 0.955 Sr
0.764 0.045 0.410 Sr
0.955 0.590 0.236 Sr
0.166 0.166 0.166 Sb
0.834 0.834 0.834 Sb
0.075 0.679 0.361 H
0.321 0.639 0.925 H
0.361 0.075 0.679 H
0.639 0.925 0.321 H
0.679 0.361 0.075 H
0.925 0.321 0.639 H
```


The following is a DFT calculation (PBE) of a geometry-optimized Sr5Sb2H structure.

Calculated values
**Calculated total energy**: -24.41 eV/cell

Structure (POSCAR):
```
Sr5Sb2H
1.0
-3.789 3.789 4.886
3.789 -3.789 4.886
3.789 3.789 -4.886
Sr Sb H
5 2 1
Direct
0.000 0.000 0.000 Sr
0.497 0.497 0.499 Sr
0.497 0.998 0.000 Sr
0.998 0.497 0.000 Sr
0.998 0.998 0.501 Sr
0.499 0.999 0.500 Sb
0.999 0.499 0.500 Sb
0.246 0.246 0.000 H
```


The following is a DFT calculation (PBE) of a geometry-optimized SrSb3H structure.

Calculated values
**Calculated total energy**: -11.61 eV/cell

Structure (POSCAR):
```
SrSb3H
1.0
6.121 0.000 0.000
0.000 6.121 0.000
0.000 0.000 6.121
Sr Sb H
1 3 1
Direct
0.000 0.000 0.000 Sr
0.000 0.000 0.500 Sb
0.000 0.500 0.000 Sb
0.500 0.000 0.000 Sb
0.500 0.500 0.500 H
```


The following is a DFT calculation (PBE) of a geometry-optimized SrSbH structure.

Calculated values
**Calculated total energy**: -42.91 eV/cell

Structure (POSCAR):
```
SrSbH
1.0
6.870 0.000 0.000
0.000 6.873 0.000
0.000 0.000 6.903
Sr Sb H
4 4 4
Direct
0.238 0.250 0.015 Sr
0.262 0.750 0.515 Sr
0.738 0.250 0.485 Sr
0.762 0.750 0.985 Sr
0.247 0.250 0.528 Sb
0.253 0.750 0.028 Sb
0.747 0.250 0.972 Sb
0.753 0.750 0.472 Sb
0.072 0.250 0.339 H
0.428 0.750 0.839 H
0.572 0.250 0.161 H
0.928 0.750 0.661 H
```


The following is a DFT calculation (PBE) of a geometry-optimized SrSb2H structure.

Calculated values
**Calculated total energy**: -27.70 eV/cell

Structure (POSCAR):
```
SrSb2H
1.0
-3.640 3.640 3.831
3.640 -3.640 3.831
3.640 3.640 -3.831
Sr Sb H
2 4 2
Direct
0.000 0.000 0.000 Sr
0.750 0.250 0.500 Sr
0.267 0.125 0.642 Sb
0.375 0.733 0.858 Sb
0.483 0.625 0.358 Sb
0.875 0.517 0.142 Sb
0.250 0.750 0.500 H
0.500 0.500 0.000 H
```


The following is a DFT calculation (PBE) of a geometry-optimized SrSbH structure.

Calculated values
**Calculated total energy**: -42.96 eV/cell

Structure (POSCAR):
```
SrSbH
1.0
7.885 0.000 0.000
0.000 8.660 0.000
0.000 0.000 4.854
Sr Sb H
4 4 4
Direct
0.000 0.000 0.000 Sr
0.000 0.500 0.000 Sr
0.500 0.000 0.500 Sr
0.500 0.500 0.500 Sr
0.165 0.250 0.460 Sb
0.335 0.750 0.960 Sb
0.665 0.250 0.040 Sb
0.835 0.750 0.540 Sb
0.007 0.750 0.302 H
0.493 0.250 0.802 H
0.507 0.750 0.198 H
0.993 0.250 0.698 H
```


The following is a DFT calculation (PBE) of a geometry-optimized Sr8Sb5H structure.

Calculated values
**Calculated total energy**: -50.60 eV/cell

Structure (POSCAR):
```
Sr8Sb5H
1.0
-4.950 4.950 5.052
4.950 -4.950 5.052
4.950 4.950 -5.052
Sr Sb H
8 5 1
Direct
0.114 0.232 0.751 Sr
0.150 0.757 0.762 Sr
0.243 0.005 0.393 Sr
0.481 0.363 0.249 Sr
0.613 0.850 0.607 Sr
0.637 0.886 0.118 Sr
0.768 0.519 0.882 Sr
0.995 0.387 0.238 Sr
0.000 0.000 0.000 Sb
0.255 0.635 0.120 Sb
0.365 0.484 0.620 Sb
0.516 0.135 0.880 Sb
0.865 0.745 0.380 Sb
0.750 0.250 0.500 H
```